(1)
Here is a relaxed structure of LaSiAsC2 from the Alexandria database. Energies are from PBE-GGA.

a = 4.1979 Å, b = 4.1979 Å, c = 4.7593 Å
α = 90.00°, β = 90.00°, γ = 90.00°
Last column: nearest neighbours and their distance in Å.
Positions (direct):
La  0.0000  0.0000  0.0000  4 Si 2.97, 8 C 3.17
Si  0.5000  0.5000  0.0000  2 As 2.38
As  0.5000  0.5000  0.5000  4 C 2.10
C  0.0000  0.5000  0.5000  2 As 2.10
C  0.5000  0.0000  0.5000  2 As 2.10

## Properties
ΔE_f (raw), eV/atom: 1.36



(2)
Here is a relaxed structure of ZrAlBr2 from the Alexandria database. Energies are from PBE-GGA.

a = 4.9458 Å, b = 4.9458 Å, c = 4.9458 Å
α = 60.00°, β = 60.00°, γ = 60.00°
Last column: nearest neighbours and their distance in Å.
Positions (direct):
Zr  0.0000  0.0000  0.0000  8 Br 3.03
Al  0.5000  0.5000  0.5000  8 Br 3.03
Br  0.2500  0.2500  0.2500  4 Zr 3.03, 4 Al 3.03
Br  0.7500  0.7500  0.7500  4 Al 3.03, 4 Zr 3.03

## Properties
ΔE_f (raw), eV/atom: -0.06
Energy above the most stable polymorph in this dataset, meV/atom: 656



(3)
Here is a relaxed structure of YMo2RuW from the Alexandria database. Energies are from PBE-GGA.

a = 4.7155 Å, b = 4.7155 Å, c = 4.5823 Å
α = 90.00°, β = 90.00°, γ = 90.00°
Last column: nearest neighbours and their distance in Å.
Positions (direct):
Y  0.0000  0.0000  0.0000  2 Ru 2.29, 4 Mo 2.36
Mo  0.0000  0.5000  0.0000  2 Y 2.36
Mo  0.5000  0.0000  0.0000  2 Y 2.36
Ru  0.0000  0.0000  0.5000  2 Y 2.29
W  0.5000  0.5000  0.5000  8 Mo 3.29, 4 Ru 3.33

## Properties
Energy relative to the elements, meV/atom: 2656



(4)
Here is a relaxed structure of MnPb from the Alexandria database. Energies are from PBE-GGA.

a = 5.9331 Å, b = 6.7606 Å, c = 8.7903 Å
α = 90.00°, β = 90.00°, γ = 90.00°
Last column: nearest neighbours and their distance in Å.
Positions (direct):
Mn  0.0557  0.0609  0.3757  5 Pb 2.83-2.97, 3 Mn 2.85-2.94
Mn  0.2283  0.4690  0.3753  5 Pb 2.80-2.95, 3 Mn 2.85-2.94
Mn  0.2717  0.5310  0.8753  5 Pb 2.80-2.95, 3 Mn 2.85-2.94
Mn  0.4443  0.9391  0.8757  5 Pb 2.83-2.97, 3 Mn 2.85-2.94
Mn  0.5557  0.4391  0.6243  5 Pb 2.83-2.97, 3 Mn 2.85-2.94
Mn  0.7283  0.0310  0.6247  5 Pb 2.80-2.95, 3 Mn 2.85-2.94
Mn  0.7717  0.9690  0.1247  5 Pb 2.80-2.95, 3 Mn 2.85-2.94
Mn  0.9443  0.5609  0.1243  5 Pb 2.83-2.97, 3 Mn 2.85-2.94
Pb  0.1110  0.2697  0.6531  5 Mn 2.80-2.89
Pb  0.1849  0.1986  0.0845  6 Mn 2.83-3.15
Pb  0.3151  0.8014  0.5845  6 Mn 2.83-3.15
Pb  0.3890  0.7303  0.1531  5 Mn 2.80-2.89
Pb  0.6110  0.2303  0.3469  5 Mn 2.80-2.89
Pb  0.6849  0.3014  0.9155  6 Mn 2.83-3.15
Pb  0.8151  0.6986  0.4155  6 Mn 2.83-3.15
Pb  0.8890  0.7697  0.8469  5 Mn 2.80-2.89

## Properties
Energy relative to the elements, meV/atom: 474



(5)
Here is a relaxed structure of InOsPt from the Alexandria database. Energies are from PBE-GGA.

a = 4.3838 Å, b = 4.3838 Å, c = 4.3838 Å
α = 60.00°, β = 60.00°, γ = 60.00°
Last column: nearest neighbours and their distance in Å.
Positions (direct):
In  0.0000  0.0000  0.0000  4 Pt 2.68
Os  0.5000  0.5000  0.5000  4 Pt 2.68
Pt  0.2500  0.2500  0.2500  4 Os 2.68, 4 In 2.68

## Properties
Energy relative to the elements, meV/atom: 529
Energy above the most stable polymorph in this dataset, meV/atom: 562



(6)
Here is a relaxed structure of TlIClO2 from the Alexandria database. Energies are from PBE-GGA.

a = 4.1452 Å, b = 4.1452 Å, c = 7.4853 Å
α = 90.00°, β = 90.00°, γ = 90.00°
Last column: nearest neighbours and their distance in Å.
Positions (direct):
Tl  0.0000  0.0000  0.0000  4 O 2.07
I  0.0000  0.0000  0.5000  4 Cl 2.93
Cl  0.5000  0.5000  0.5000  4 I 2.93
O  0.0000  0.5000  0.0000  2 Tl 2.07
O  0.5000  0.0000  0.0000  2 Tl 2.07

## Properties
ΔE_f (raw), eV/atom: 0.26
Energy above the most stable polymorph in this dataset, meV/atom: 0



(7)
Here is a relaxed structure of LiEr5O8 from the Alexandria database. Energies are from PBE-GGA.

a = 6.0426 Å, b = 6.0426 Å, c = 6.0426 Å
α = 108.96°, β = 108.96°, γ = 110.49°
Last column: nearest neighbours and their distance in Å.
Positions (direct):
Li  0.0000  0.0000  0.0000  4 O 2.29
Er  0.2198  0.1158  0.5973  6 O 2.23-2.44
Er  0.3776  0.7802  0.8961  6 O 2.23-2.44
Er  0.5185  0.6224  0.4027  6 O 2.23-2.44
Er  0.7500  0.2500  0.5000  4 O 2.24
Er  0.8842  0.4815  0.1039  6 O 2.23-2.44
O  0.1208  0.3715  0.3787  4 Er 2.25-2.52, 1 Li 2.29
O  0.1266  0.3913  0.8720  4 Er 2.23-2.41
O  0.2579  0.8792  0.2507  4 Er 2.25-2.52, 1 Li 2.29
O  0.5193  0.2546  0.1280  4 Er 2.23-2.41
O  0.6087  0.4807  0.7353  4 Er 2.23-2.41
O  0.6285  0.0072  0.7493  4 Er 2.25-2.52, 1 Li 2.29
O  0.7454  0.8734  0.2647  4 Er 2.23-2.41
O  0.9928  0.7421  0.6213  4 Er 2.25-2.52, 1 Li 2.29

## Properties
ΔE_f (raw), eV/atom: -3.31



(8)
Here is a relaxed structure of Pm3Ni4 from the Alexandria database. Energies are from PBE-GGA.

a = 5.3583 Å, b = 5.3583 Å, c = 13.2302 Å
α = 90.00°, β = 90.00°, γ = 134.33°
Last column: nearest neighbours and their distance in Å.
Positions (direct):
Pm  0.0065  0.9935  0.7500  7 Ni 2.90-3.10
Pm  0.2781  0.7219  0.1020  7 Ni 2.85-3.06
Pm  0.2781  0.7219  0.3980  7 Ni 2.85-3.06
Pm  0.7219  0.2781  0.6020  7 Ni 2.85-3.06
Pm  0.7219  0.2781  0.8980  7 Ni 2.85-3.06
Pm  0.9935  0.0065  0.2500  7 Ni 2.90-3.10
Ni  0.0000  0.0000  0.0000  4 Ni 2.45
Ni  0.0000  0.0000  0.5000  4 Ni 2.45
Ni  0.3021  0.6979  0.7500  2 Ni 2.55
Ni  0.4343  0.5657  0.5845  4 Ni 2.45-2.59
Ni  0.4343  0.5657  0.9155  4 Ni 2.45-2.59
Ni  0.5657  0.4343  0.0845  4 Ni 2.45-2.59
Ni  0.5657  0.4343  0.4155  4 Ni 2.45-2.59
Ni  0.6979  0.3021  0.2500  2 Ni 2.55

## Properties
Energy relative to the elements, meV/atom: -333



(9)
Here is a relaxed structure of PaTiCrW from the Alexandria database. Energies are from PBE-GGA.

a = 4.5980 Å, b = 4.5980 Å, c = 4.5980 Å
α = 60.00°, β = 60.00°, γ = 60.00°
Last column: nearest neighbours and their distance in Å.
Positions (direct):
Pa  0.0000  0.0000  0.0000  4 Cr 2.82, 4 W 2.82
Ti  0.5000  0.5000  0.5000  4 Cr 2.82, 4 W 2.82
Cr  0.7500  0.7500  0.7500  4 Pa 2.82, 4 Ti 2.82
W  0.2500  0.2500  0.2500  4 Ti 2.82, 4 Pa 2.82

## Properties
Energy relative to the elements, meV/atom: 135



(10)
Here is a relaxed structure of Th2VSi4Ir3 from the Alexandria database. Energies are from PBE-GGA.

a = 4.1920 Å, b = 4.1920 Å, c = 10.0819 Å
α = 90.00°, β = 90.00°, γ = 90.00°
Last column: nearest neighbours and their distance in Å.
Positions (direct):
Th  0.0000  0.5000  0.2453  8 Si 3.21-3.24, 6 Ir 3.21-3.31, 2 V 3.31
Th  0.5000  0.0000  0.7547  8 Si 3.21-3.24, 6 Ir 3.21-3.31, 2 V 3.31
V  0.0000  0.0000  0.5000  4 Si 2.49
Si  0.0000  0.0000  0.0000  4 Ir 2.44
Si  0.0000  0.5000  0.6333  3 Ir 2.45-2.49, 2 V 2.49
Si  0.5000  0.0000  0.3667  3 Ir 2.45-2.49, 2 V 2.49
Si  0.5000  0.5000  0.0000  4 Ir 2.44
Ir  0.0000  0.5000  0.8763  5 Si 2.44-2.45
Ir  0.5000  0.0000  0.1237  5 Si 2.44-2.45
Ir  0.5000  0.5000  0.5000  4 Si 2.49

## Properties
ΔE_f (raw), eV/atom: -0.94